## CuNiHg3 (PBE)

Data for a relaxed structure of CuNiHg3.

Cell: 4.9720 4.9720 4.9720 Å, 90.00 90.00 90.00°
Positions (direct):
Cu 0.0000 0.0000 0.0000
Ni 0.5000 0.5000 0.5000
Hg 0.0000 0.5000 0.5000
Hg 0.5000 0.0000 0.5000
Hg 0.5000 0.5000 0.0000

Results
The calculation puts the distance to the lowest polymorph of the same formula at 0.0 kJ/mol of atoms. The formation energy comes out at 528 meV per atom. For the size of the total moment, the calculation gives 0.0 μB/f.u. The density of states at the Fermi level comes out at 0.596 states/eV/atom.